This record from Alexandria via LeMat-Bulk describes a relaxed structure of NaFe7P6O24. The functional is GGA+U.

Computed properties:
Space group: No. 2
DFT total energy in Ha/atom: -0.259

Cell: 6.4984 8.0907 9.4737 Å, 105.28 108.10 101.67°
Each line ends with the local moment (μB).
Fractional positions:
O1 0.2094 0.9495 0.7036  0.09
O2 0.7515 0.7295 0.5433  0.12
O3 0.9812 0.8127 0.3439  0.08
O4 0.7906 0.0505 0.2964  0.09
O5 0.0188 0.1873 0.6561  0.08
O6 0.4516 0.2640 0.7707  0.06
O7 0.8786 0.2100 0.0845  0.03
O8 0.5484 0.7360 0.2293  0.06
O9 0.5513 0.6413 0.7188  0.07
O10 0.1214 0.7900 0.9155  0.03
O11 0.7005 0.4599 0.0875  0.09
O12 0.2300 0.1919 0.9371  0.06
O13 0.7700 0.8081 0.0629  0.06
O14 0.9386 0.4502 0.3475  0.11
O15 0.8738 0.4685 0.8347  0.06
O16 0.6329 0.2359 0.4899  0.08
O17 0.0614 0.5498 0.6525  0.11
O18 0.1262 0.5315 0.1653  0.06
O19 0.2485 0.2705 0.4567  0.12
O20 0.3671 0.7641 0.5101  0.08
O21 0.2995 0.5401 0.9125  0.09
O22 0.2851 0.0336 0.2361  0.04
O23 0.7149 0.9664 0.7639  0.04
O24 0.4487 0.3587 0.2812  0.07
Fe1 0.6080 0.5428 0.8911  4.14
Fe2 0.0000 0.0000 0.0000  3.80
Fe3 0.3920 0.4572 0.1089  4.14
Fe4 0.7153 0.1922 0.7069  3.78
Fe5 0.9621 0.2801 0.4725  4.39
Fe6 0.0379 0.7199 0.5275  4.39
Fe7 0.2847 0.8078 0.2931  3.78
P1 0.4017 0.2289 0.3658  0.02
P2 0.9134 0.4085 0.1695  0.01
P3 0.5983 0.7711 0.6342  0.02
P4 0.0866 0.5915 0.8305  0.01
P5 0.2251 0.1481 0.7637  0.02
P6 0.7749 0.8519 0.2363  0.02
Na1 0.5000 0.0000 0.0000  0.00